[1]
# CrSbIr

A geometry-optimized CrSbIr structure (PBE-GGA, Alexandria via LeMat-Bulk).

```
CrSbIr
1.0
3.006 0.000 0.000
-1.503 2.603 0.000
0.000 0.000 6.365
Cr Ir Sb
1 1 1
direct
0.000 0.000 0.015
0.667 0.333 0.308
0.333 0.667 0.677
```

Computed properties:
Final energy   -21.41 eV for the cell shown
Raw formation energy   0.40 eV/atom
Symmetry   P3m1 (156)
Calculated density   12.2 g/cm3


[2]
# TiCoPt

A geometry-optimized TiCoPt structure (PBE-GGA, Alexandria via LeMat-Bulk).

```
TiCoPt
1.0
4.917 1.475 1.473
3.200 5.857 2.438
1.329 2.210 4.467
Ti Co Pt
2 2 2
direct
0.052 0.999 0.657
0.788 0.757 0.654
0.725 0.657 0.289
0.115 0.098 0.022
0.413 0.302 0.994
0.427 0.454 0.317
```

Computed properties:
Final energy   -45.27 eV for the cell shown
Symmetry   P-1 (2)
Calculated density   11.8 g/cm3
ΔH_f (0 K)   -0.532 eV per atom


[3]
# Np

A geometry-optimized Np structure (PBE-GGA, Alexandria via LeMat-Bulk).

```
Np
1.0
-0.549 -2.747 0.152
1.028 1.351 2.234
-11.428 2.489 3.755
Np
4
direct
0.000 0.000 0.000
0.000 0.000 0.500
0.667 0.333 0.750
0.333 0.667 0.250
```

Computed properties:
Final energy   -49.74 eV for the cell shown
Symmetry   P6_3/mmc (194)
Calculated density   18.8 g/cm3
ΔH_f (0 K)   0.506 eV per atom
Distance to the lowest polymorph of the same formula   506 meV per atom


[4]
# Cs3Mn2InI9

A geometry-optimized Cs3Mn2InI9 structure (PBE-GGA, Alexandria via LeMat-Bulk).

```
Cs3Mn2InI9
1.0
-1.634 -4.739 -6.765
7.704 -0.025 3.397
-2.744 -7.855 6.165
Cs Mn In I
3 2 1 9
direct
0.333 0.667 0.668
0.000 0.000 0.000
0.667 0.333 0.332
0.333 0.667 0.161
0.667 0.333 0.839
0.000 0.000 0.500
0.825 0.175 0.679
0.825 0.651 0.679
0.349 0.175 0.679
0.651 0.825 0.321
0.175 0.349 0.321
0.175 0.825 0.321
0.500 0.000 0.000
0.000 0.500 0.000
0.500 0.500 0.000
```

Computed properties:
Final energy   -50.65 eV for the cell shown
Raw formation energy   -0.87 eV/atom
Symmetry   P-3m1 (164)
Calculated density   4.6 g/cm3


[5]
# BaSrSnCl6

A geometry-optimized BaSrSnCl6 structure (PBE-GGA, Alexandria via LeMat-Bulk).

```
BaSrSnCl6
1.0
6.864 0.000 0.000
0.000 6.864 0.000
0.000 0.000 13.710
Ba Sr Sn Cl
2 2 2 12
direct
0.500 0.500 0.166
0.000 0.000 0.666
0.500 0.500 0.500
0.000 0.000 0.000
0.500 0.500 0.834
0.000 0.000 0.334
0.198 0.802 0.490
0.802 0.198 0.490
0.302 0.302 0.990
0.698 0.698 0.990
0.184 0.816 0.169
0.816 0.184 0.169
0.316 0.316 0.669
0.684 0.684 0.669
0.798 0.202 0.841
0.202 0.798 0.841
0.702 0.702 0.341
0.298 0.298 0.341
```

Computed properties:
Final energy   -72.94 eV for the cell shown
Raw formation energy   -1.98 eV/atom
Symmetry   P4_2nm (102)
Calculated density   2.9 g/cm3


[6]
# YHf2TiP

A geometry-optimized YHf2TiP structure (PBE-GGA, Alexandria via LeMat-Bulk).

```
YHf2TiP
1.0
4.758 0.000 0.000
0.000 5.616 0.000
0.000 0.000 4.758
Y P Hf Ti
1 1 2 1
direct
0.000 0.500 0.000
0.500 0.500 0.500
0.000 0.000 0.500
0.500 0.000 0.000
0.000 0.000 0.000
```

Computed properties:
Final energy   -35.30 eV for the cell shown
Symmetry   P4/mmm (123)
Calculated density   6.9 g/cm3
ΔH_f (0 K)   0.875 eV per atom


[7]
# Y2BeIn

A geometry-optimized Y2BeIn structure (PBE-GGA, Alexandria via LeMat-Bulk).

```
Y2BeIn
1.0
3.538 0.000 0.000
0.000 4.635 0.000
0.000 0.000 6.208
Y Be In
2 1 1
direct
0.000 0.000 0.967
0.500 0.500 0.300
0.000 0.000 0.454
0.500 0.500 0.780
```

Computed properties:
Final energy   -18.86 eV for the cell shown
Symmetry   Pmm2 (25)
Calculated density   4.9 g/cm3
ΔH_f (0 K)   0.134 eV per atom
Distance to the lowest polymorph of the same formula   355 meV per atom


[8]
# Na5Cd2Pb2

A geometry-optimized Na5Cd2Pb2 structure (PBE-GGA, Alexandria via LeMat-Bulk).

```
Na5Cd2Pb2
1.0
4.996 0.000 1.855
1.779 5.348 2.865
-0.699 0.311 9.540
Na Cd Pb
5 2 2
direct
0.438 0.836 0.287
0.562 0.164 0.713
0.115 0.453 0.317
0.885 0.547 0.683
0.000 0.000 0.000
0.306 0.433 0.954
0.694 0.567 0.046
0.225 0.920 0.629
0.775 0.080 0.371
```

Computed properties:
Final energy   -16.80 eV for the cell shown
Symmetry   C2/m (12)
Calculated density   4.8 g/cm3
ΔH_f (0 K)   -0.107 eV per atom
Distance to the lowest polymorph of the same formula   0 meV per atom


[9]
# KLiI2O

A geometry-optimized KLiI2O structure (PBE-GGA, Alexandria via LeMat-Bulk).

```
KLiI2O
1.0
-0.606 6.539 0.091
-3.558 -0.406 5.505
4.279 0.358 2.792
I K O Li
2 1 1 1
direct
0.000 0.500 0.000
0.500 0.000 0.000
0.000 0.000 0.000
0.000 0.000 0.500
0.500 0.500 0.500
```

Computed properties:
Final energy   -12.17 eV for the cell shown
Raw formation energy   -0.22 eV/atom
Symmetry   P4/mmm (123)
Calculated density   2.4 g/cm3
Distance to the lowest polymorph of the same formula   488 meV per atom


[10]
# Ta2CuSi

A geometry-optimized Ta2CuSi structure (PBE-GGA, Alexandria via LeMat-Bulk).

```
Ta2CuSi
1.0
-1.241 -0.325 -3.670
0.838 -2.723 -0.042
-4.347 -3.714 1.799
Cu Si Ta
1 1 2
direct
0.500 0.250 0.250
0.500 0.750 0.750
0.000 0.968 0.996
0.000 0.532 0.504
```

Computed properties:
Final energy   -33.68 eV for the cell shown
Raw formation energy   -0.12 eV/atom
Symmetry   P2/m (10)
Calculated density   12.2 g/cm3


[11]
# ErFeB

A geometry-optimized ErFeB structure (PBE-GGA, Alexandria via LeMat-Bulk).

```
ErFeB
1.0
-3.390 0.797 -1.916
1.449 -1.087 -3.016
-1.702 -2.289 2.059
B Fe Er
1 1 1
direct
0.167 0.667 0.333
0.167 0.000 0.000
0.667 0.333 0.667
```

Computed properties:
Final energy   -20.45 eV for the cell shown
Symmetry   P-6m2 (187)
Calculated density   9.1 g/cm3
ΔH_f (0 K)   -0.249 eV per atom
Distance to the lowest polymorph of the same formula   134 meV per atom


[12]
# Tm2BeGa

A geometry-optimized Tm2BeGa structure (PBE-GGA, Alexandria via LeMat-Bulk).

```
Tm2BeGa
1.0
-0.279 3.385 -0.453
-3.286 -0.143 0.962
1.877 1.032 6.562
Be Tm Ga
1 2 1
direct
0.500 0.500 0.000
0.000 0.000 0.765
0.000 0.000 0.235
0.500 0.500 0.500
```

Computed properties:
Final energy   -16.76 eV for the cell shown
Symmetry   P4/mmm (123)
Calculated density   8.5 g/cm3
ΔH_f (0 K)   -0.267 eV per atom
Distance to the lowest polymorph of the same formula   0 meV per atom